(P)
A relaxed structure of SmTmTh2. Source: Alexandria via LeMat-Bulk, functional PBE.

Cell: 3.555 3.555 10.167 Å, 90.00 90.00 90.00°
Element x y z (fractional)
Sm 0.000 0.000 0.000
Tm 0.000 0.000 0.500
Th 0.500 0.500 0.255
Th 0.500 0.500 0.745

Properties
The calculation puts the density at 10.12 g/cm3. The symmetry is P4/mmm, No. 123. The value obtained for the total magnetic moment is 0.000 μB per atom.

(Q)
A relaxed structure of SmTmTh2. Source: Alexandria via LeMat-Bulk, functional PBE.

Cell: 10.129 10.129 3.510 Å, 99.63 99.63 65.73°
Element x y z (fractional)
Sm 0.000 0.500 0.000
Sm 0.500 0.000 0.500
Tm 0.142 0.858 0.250
Tm 0.858 0.142 0.750
Th 0.274 0.531 0.647
Th 0.469 0.726 0.853
Th 0.531 0.274 0.147
Th 0.726 0.469 0.353

Properties
The calculation puts the density at 8.09 g/cm3. The symmetry is C2/c, No. 15. The value obtained for the total magnetic moment is 0.000 μB per atom.

(R)
A relaxed structure of SmTmTh2. Source: Alexandria via LeMat-Bulk, functional PBE.

Cell: 12.566 12.566 12.566 Å, 15.92 15.92 15.92°
Element x y z (fractional)
Sm 0.000 0.000 0.000
Tm 0.500 0.500 0.500
Th 0.088 0.088 0.088
Th 0.912 0.912 0.912

Properties
The calculation puts the density at 10.00 g/cm3. The symmetry is R-3m, No. 166. The value obtained for the total magnetic moment is 0.000 μB per atom.

Most stable to least stable, the ends of the list are (P) and (Q).

(P)
A relaxed structure of SmTm9Th2. Source: Alexandria via LeMat-Bulk, functional PBE.

Cell: 4.969 4.969 14.943 Å, 90.00 90.00 90.00°
Element x y z (fractional)
Sm 0.000 0.000 0.000
Tm 0.000 0.500 0.169
Tm 0.000 0.500 0.500
Tm 0.000 0.500 0.831
Tm 0.500 0.000 0.169
Tm 0.500 0.000 0.500
Tm 0.500 0.000 0.831
Tm 0.500 0.500 0.000
Tm 0.500 0.500 0.334
Tm 0.500 0.500 0.666
Th 0.000 0.000 0.334
Th 0.000 0.000 0.666

Properties
The calculation puts the density at 9.61 g/cm3. The symmetry is P4/mmm, No. 123. The value obtained for the total magnetic moment is 0.000 μB per atom.

(Q)
A relaxed structure of SmTm9Th2. Source: Alexandria via LeMat-Bulk, functional PBE.

Cell: 11.227 11.227 3.473 Å, 90.00 90.00 120.00°
Element x y z (fractional)
Sm 0.000 0.000 0.000
Tm 0.000 0.500 0.000
Tm 0.175 0.351 0.500
Tm 0.175 0.825 0.500
Tm 0.351 0.175 0.500
Tm 0.500 0.000 0.000
Tm 0.500 0.500 0.000
Tm 0.649 0.825 0.500
Tm 0.825 0.175 0.500
Tm 0.825 0.649 0.500
Th 0.333 0.667 0.000
Th 0.667 0.333 0.000

Properties
The calculation puts the density at 9.35 g/cm3. The symmetry is P6/mmm, No. 191. The value obtained for the total magnetic moment is 0.000 μB per atom.

Most stable to least stable, the ends of the list are (P) and (Q).